# 1
First-principles (GGA-PBEsol) data for an optimized crystal structure of KCu3C, as listed in Alexandria via LeMat-Bulk.

a = 4.709 Å, b = 4.709 Å, c = 4.709 Å
α = 90.00°, β = 90.00°, γ = 90.00°
Positions (direct):
K  0.000  0.000  0.000
Cu  0.000  0.000  0.500
Cu  0.000  0.500  0.000
Cu  0.500  0.000  0.000
C  0.500  0.500  0.500

## Properties
* DOS(E_F): 2.4 states/eV/f.u.
* total magnetic moment: 0.7 μB/f.u.
* formation enthalpy at 0 K: 3.15 eV/atom
* V: 20.88 Å³ per atom

***

# 2
First-principles (GGA-PBEsol) data for an optimized crystal structure of K2CuCN, as listed in Alexandria via LeMat-Bulk.

a = 5.908 Å, b = 5.908 Å, c = 2.613 Å
α = 90.00°, β = 90.00°, γ = 90.00°
Positions (direct):
K  0.000  0.500  0.000
K  0.500  0.000  0.000
Cu  0.000  0.000  0.500
C  0.500  0.500  0.500
N  0.500  0.500  0.000

## Properties
* DOS(E_F): 2.4 states/eV/f.u.
* total magnetic moment: 0.0 μB/f.u.
* E_tot: -4.13 eV per atom
* V: 18.24 Å³ per atom

***

# 3
First-principles (GGA-PBEsol) data for an optimized crystal structure of K2CuPCO7, as listed in Alexandria via LeMat-Bulk.

a = 5.055 Å, b = 8.147 Å, c = 8.990 Å
α = 90.00°, β = 93.14°, γ = 90.00°
Positions (direct):
K  0.235  0.024  0.252
K  0.235  0.476  0.252
K  0.765  0.524  0.748
K  0.765  0.976  0.748
Cu  0.304  0.250  0.637
Cu  0.696  0.750  0.363
P  0.216  0.750  0.585
P  0.784  0.250  0.415
C  0.237  0.250  0.891
C  0.763  0.750  0.109
O  0.051  0.250  0.781
O  0.096  0.250  0.464
O  0.196  0.250  0.025
O  0.269  0.592  0.671
O  0.269  0.908  0.671
O  0.360  0.750  0.434
O  0.469  0.250  0.832
O  0.531  0.750  0.168
O  0.640  0.250  0.566
O  0.731  0.092  0.329
O  0.731  0.408  0.329
O  0.804  0.750  0.975
O  0.904  0.750  0.536
O  0.949  0.750  0.219

## Properties
* DOS(E_F): 3.8 states/eV/f.u.
* total magnetic moment: 0.0 μB/f.u.
* E_tot: -6.56 eV per atom
* V: 15.40 Å³ per atom

***

Q: What is the total magnetic moment in the first record?
A: 0.7 μB/f.u.

***

Copy entry 2 word for word.
First-principles (GGA-PBEsol) data for an optimized crystal structure of K2CuCN, as listed in Alexandria via LeMat-Bulk.

a = 5.908 Å, b = 5.908 Å, c = 2.613 Å
α = 90.00°, β = 90.00°, γ = 90.00°
Positions (direct):
K  0.000  0.500  0.000
K  0.500  0.000  0.000
Cu  0.000  0.000  0.500
C  0.500  0.500  0.500
N  0.500  0.500  0.000

## Properties
* DOS(E_F): 2.4 states/eV/f.u.
* total magnetic moment: 0.0 μB/f.u.
* E_tot: -4.13 eV per atom
* V: 18.24 Å³ per atom